Computed, not measured: Ba4Ti3PtO12 after structural relaxation at the PBEsol level of DFT.

Output
Raw formation energy: -2.744 eV/atom
Magnetic moment: 0.000 μB per atom

abc: 5.7081 5.7081 28.0839
angles: 90.00 90.00 120.00
Element x y z (fractional)
O  0.5011  0.4989  0.2915
O  0.9983  0.4992  0.9616
O  0.8303  0.1697  0.2119
O  0.3344  0.1672  0.0407
O  0.8328  0.1672  0.0407
O  0.1834  0.8166  0.3756
O  0.1527  0.8473  0.1247
O  0.5008  0.4992  0.9616
O  0.6946  0.8473  0.1247
O  0.6943  0.8471  0.6233
O  0.5026  0.4974  0.7904
O  0.3407  0.1703  0.7104
O  0.9947  0.4974  0.7904
O  0.8297  0.6593  0.7104
O  0.9978  0.4989  0.2915
O  0.6333  0.8166  0.3756
O  0.5017  0.4983  0.4598
O  0.5008  0.0017  0.9616
O  0.3345  0.1672  0.5394
O  0.1795  0.8205  0.8778
O  0.9966  0.4983  0.4598
O  0.1834  0.3667  0.3756
O  0.5011  0.0022  0.2915
O  0.5026  0.0053  0.7904
O  0.8328  0.6656  0.0407
O  0.1795  0.3590  0.8778
O  0.5017  0.0034  0.4598
O  0.3393  0.1697  0.2119
O  0.8328  0.6655  0.5394
O  0.8297  0.1703  0.7104
O  0.1527  0.3054  0.1247
O  0.6410  0.8205  0.8778
O  0.1529  0.8471  0.6233
O  0.1529  0.3057  0.6233
O  0.8328  0.1672  0.5394
O  0.8303  0.6607  0.2119
Ba  0.3333  0.6667  0.0481
Ba  0.6667  0.3333  0.1264
Ba  0.0000  0.0000  0.9517
Ba  0.0000  0.0000  0.2977
Ba  0.0000  0.0000  0.7931
Ba  0.3333  0.6667  0.5464
Ba  0.6667  0.3333  0.8711
Ba  0.6667  0.3333  0.6253
Ba  0.3333  0.6667  0.2037
Ba  0.3333  0.6667  0.7043
Ba  0.0000  0.0000  0.4505
Ba  0.6667  0.3333  0.3744
Pt  0.0000  0.0000  0.6696
Pt  0.0000  0.0000  0.1713
Pt  0.3333  0.6667  0.8306
Ti  0.3333  0.6667  0.9239
Ti  0.6667  0.3333  0.7485
Ti  0.0000  0.0000  0.0750
Ti  0.6667  0.3333  0.4978
Ti  0.6667  0.3333  0.2495
Ti  0.3333  0.6667  0.4213
Ti  0.0000  0.0000  0.5735
Ti  0.3333  0.6667  0.3260
Ti  0.6667  0.3333  0.9990